# 1
The following is a DFT calculation (PBE) of a relaxed structure of TbCe2Sm3Te6.

Results
* space group: C2/m, No. 12
* crystal system: monoclinic
* E_form (uncorrected): -1588 kJ/mol of formula units

The structure in extended XYZ format:
```
12
Lattice="9.7044 -2.2112 0.0000 9.7044 2.2112 0.0000 -2.1193 0.0000 8.6975" Properties=species:S:1:pos:R:3 pbc="T T T"
Tb 0.0000 0.0000 0.0000
Ce 5.0473 0.0000 5.7774
Ce 12.2422 0.0000 2.9200
Sm -1.0596 0.0000 4.3487
Sm 6.0951 0.0000 1.4442
Sm 11.1944 0.0000 7.2533
Te 3.0221 0.0000 0.7015
Te 1.9681 0.0000 5.0985
Te 9.1642 0.0000 2.1322
Te 8.1254 0.0000 6.5653
Te 15.3214 0.0000 3.5990
Te 14.2674 0.0000 7.9960
```



# 2
The following is a DFT calculation (PBE) of a relaxed structure of Ce5InBi3.

Results
* space group: P6_3/mcm, No. 193
* crystal system: hexagonal
* energy of formation: -617 meV per atom

The structure in extended XYZ format:
```
18
Lattice="9.7197 0.0000 0.0000 -4.8598 8.4175 0.0000 0.0000 0.0000 6.5489" Properties=species:S:1:pos:R:3 pbc="T T T"
Ce -1.3536 2.3446 1.6372
Ce -3.5062 6.0729 4.9117
Ce 2.7073 0.0000 1.6372
Ce 1.3536 2.3446 4.9117
Ce 0.0000 5.6117 0.0000
Ce 0.0000 5.6117 3.2745
Ce 4.8598 2.8058 0.0000
Ce 4.8598 2.8058 3.2745
Ce 7.0124 0.0000 4.9117
Ce 3.5062 6.0729 1.6372
In 0.0000 0.0000 0.0000
In 0.0000 0.0000 3.2745
Bi -1.8265 3.1635 4.9117
Bi -3.0334 5.2540 1.6372
Bi 3.6529 0.0000 4.9117
Bi 1.8265 3.1635 1.6372
Bi 6.0668 0.0000 1.6372
Bi 3.0334 5.2540 4.9117
```



# 3
The following is a DFT calculation (PBE) of a relaxed structure of BeSeIBr2.

Results
* space group: P4/mmm, No. 123
* crystal system: tetragonal
* E_form (uncorrected): 441 kJ/mol of formula units

The structure in extended XYZ format:
```
5
Lattice="5.7627 0.0000 0.0000 0.0000 5.7627 0.0000 0.0000 0.0000 5.4465" Properties=species:S:1:pos:R:3 pbc="T T T"
Be 0.0000 0.0000 0.0000
Se 2.8813 2.8813 0.0000
I 2.8813 2.8813 2.7232
Br 0.0000 2.8813 2.7232
Br 2.8813 0.0000 2.7232
```



# 4
The following is a DFT calculation (PBE) of a relaxed structure of Ca2ZrTe.

Results
* space group: P4/mmm, No. 123
* crystal system: tetragonal
* E_form (uncorrected): -131 kJ/mol of formula units

The structure in extended XYZ format:
```
4
Lattice="3.8574 0.0000 0.0000 0.0000 3.8574 0.0000 0.0000 0.0000 7.8772" Properties=species:S:1:pos:R:3 pbc="T T T"
Ca 0.0000 0.0000 1.7905
Ca 0.0000 0.0000 6.0866
Zr 1.9287 1.9287 3.9386
Te 1.9287 1.9287 0.0000
```



# 5
The following is a DFT calculation (PBE) of a relaxed structure of CaMgW2.

Results
* space group: R-3m, No. 166
* crystal system: trigonal
* energy of formation: 838 meV per atom

The structure in extended XYZ format:
```
4
Lattice="1.4592 0.8425 10.3073 -1.4592 0.8425 10.3073 0.0000 -1.6849 10.3073" Properties=species:S:1:pos:R:3 pbc="T T T"
Ca 0.0000 0.0000 0.0000
Mg 0.0000 0.0000 15.4610
W 0.0000 0.0000 7.5978
W 0.0000 0.0000 23.3242
```



# 6
The following is a DFT calculation (PBE) of a relaxed structure of Nb2Tl2Hg.

Results
* space group: I4/mmm, No. 139
* crystal system: tetragonal
* energy of formation: 659 meV per atom

The structure in extended XYZ format:
```
5
Lattice="-2.0827 2.0827 6.7878 2.0827 -2.0827 6.7878 2.0827 2.0827 -6.7878" Properties=species:S:1:pos:R:3 pbc="T T T"
Nb 0.0000 0.0000 1.1792
Nb 0.0000 0.0000 12.3964
Tl 2.0827 0.0000 3.3939
Tl 0.0000 2.0827 3.3939
Hg 0.0000 0.0000 6.7878
```



no.,total magnetization (μB/f.u.)
1,2.471
2,5.714
3,0.398
4,0.000
5,0.000
6,0.000